Record 1
The following is a GGA-PBE calculation of a geometry-optimized CaCuW2 structure, from Alexandria via LeMat-Bulk.

The formation energy comes out at 1.387 eV per atom. As for the excess energy over the best structure of this formula in the dataset: 914 meV/atom.

Cell lengths 9.651, 9.651, 9.651 Å; angles 151.81, 151.81, 40.29 degrees
Positions (direct):
Ca1 0.000 0.000 0.000
Ca2 0.750 0.250 0.500
Cu1 0.250 0.750 0.500
Cu2 0.500 0.500 0.000
W1 0.352 0.625 0.227
W2 0.375 0.602 0.727
W3 0.398 0.125 0.773
W4 0.875 0.648 0.273

---

Record 2
The following is a GGA-PBE calculation of a geometry-optimized CaCuW2 structure, from Alexandria via LeMat-Bulk.

The formation energy comes out at 0.868 eV per atom. As for the excess energy over the best structure of this formula in the dataset: 395 meV/atom.

Cell lengths 3.295, 3.295, 7.083 Å; angles 90.00, 90.00, 90.00 degrees
Positions (direct):
Ca1 0.000 0.000 0.000
Cu1 0.000 0.000 0.500
W1 0.500 0.500 0.332
W2 0.500 0.500 0.668

---

Record 3
The following is a GGA-PBE calculation of a geometry-optimized Ca2CuW structure, from Alexandria via LeMat-Bulk.

The formation energy comes out at 0.552 eV per atom. As for the excess energy over the best structure of this formula in the dataset: 0 meV/atom.

Cell lengths 3.229, 3.229, 8.911 Å; angles 90.00, 90.00, 90.00 degrees
Positions (direct):
Ca1 0.000 0.000 0.000
Ca2 0.500 0.500 0.378
Cu1 0.000 0.000 0.607
W1 0.500 0.500 0.748

---

Record 4
The following is a GGA-PBE calculation of a geometry-optimized CaCuW2 structure, from Alexandria via LeMat-Bulk.

The formation energy comes out at 0.789 eV per atom. As for the excess energy over the best structure of this formula in the dataset: 315 meV/atom.

Cell lengths 3.812, 3.812, 4.933 Å; angles 90.00, 90.00, 90.00 degrees
Positions (direct):
Ca1 0.000 0.000 0.000
Cu1 0.500 0.500 0.000
W1 0.000 0.500 0.500
W2 0.500 0.000 0.500

---

Record 5
The following is a GGA-PBE calculation of a geometry-optimized CaCuW2 structure, from Alexandria via LeMat-Bulk.

The formation energy comes out at 0.878 eV per atom. As for the excess energy over the best structure of this formula in the dataset: 405 meV/atom.

Cell lengths 2.657, 4.973, 5.380 Å; angles 90.00, 90.00, 90.00 degrees
Positions (direct):
Ca1 0.000 0.000 0.000
Cu1 0.000 0.000 0.500
W1 0.500 0.500 0.250
W2 0.500 0.500 0.750

---

Record 6
The following is a GGA-PBE calculation of a geometry-optimized CaCu4W structure, from Alexandria via LeMat-Bulk.

The formation energy comes out at 0.400 eV per atom.

Cell lengths 5.039, 5.039, 5.039 Å; angles 60.00, 60.00, 60.00 degrees
Positions (direct):
Ca1 0.000 0.000 0.000
Cu1 0.127 0.624 0.624
Cu2 0.624 0.127 0.624
Cu3 0.624 0.624 0.127
Cu4 0.624 0.624 0.624
W1 0.250 0.250 0.250

---

Record 7
The following is a GGA-PBE calculation of a geometry-optimized CaCuW2 structure, from Alexandria via LeMat-Bulk.

The formation energy comes out at 0.688 eV per atom. As for the excess energy over the best structure of this formula in the dataset: 214 meV/atom.

Cell lengths 4.825, 4.825, 5.873 Å; angles 94.01, 94.01, 32.38 degrees
Positions (direct):
Ca1 0.000 0.000 0.000
Cu1 0.248 0.248 0.730
W1 0.517 0.517 0.499
W2 0.763 0.763 0.318

---

Record 8
The following is a GGA-PBE calculation of a geometry-optimized Ca2CuW structure, from Alexandria via LeMat-Bulk.

The formation energy comes out at 0.805 eV per atom. As for the excess energy over the best structure of this formula in the dataset: 253 meV/atom.

Cell lengths 3.075, 4.399, 6.413 Å; angles 90.00, 90.00, 90.00 degrees
Positions (direct):
Ca1 0.000 0.000 0.248
Ca2 0.000 0.000 0.752
Cu1 0.500 0.500 0.000
W1 0.500 0.500 0.500

---

Record 9
The following is a GGA-PBE calculation of a geometry-optimized CaCuW2 structure, from Alexandria via LeMat-Bulk.

The formation energy comes out at 0.866 eV per atom. As for the excess energy over the best structure of this formula in the dataset: 393 meV/atom.

Cell lengths 10.091, 10.091, 10.091 Å; angles 16.16, 16.16, 16.16 degrees
Positions (direct):
Ca1 0.000 0.000 0.000
Cu1 0.500 0.500 0.500
W1 0.241 0.241 0.241
W2 0.759 0.759 0.759

---

Record 10
The following is a GGA-PBE calculation of a geometry-optimized CaCuW2 structure, from Alexandria via LeMat-Bulk.

The formation energy comes out at 0.473 eV per atom. As for the excess energy over the best structure of this formula in the dataset: 0 meV/atom.

Cell lengths 3.313, 3.237, 7.089 Å; angles 90.00, 91.83, 90.00 degrees
Positions (direct):
Ca1 0.000 0.000 0.000
Cu1 0.481 0.500 0.715
W1 0.504 0.500 0.324
W2 0.963 0.000 0.504

---

Record 11
The following is a GGA-PBE calculation of a geometry-optimized CaCuW2 structure, from Alexandria via LeMat-Bulk.

The formation energy comes out at 0.828 eV per atom. As for the excess energy over the best structure of this formula in the dataset: 355 meV/atom.

Cell lengths 5.485, 5.485, 5.485 Å; angles 146.05, 124.57, 66.62 degrees
Positions (direct):
Ca1 0.000 0.000 0.000
Cu1 0.733 0.233 0.500
W1 0.290 0.790 0.500
W2 0.500 0.500 0.000

---

Record 12
The following is a GGA-PBE calculation of a geometry-optimized CaCuW2 structure, from Alexandria via LeMat-Bulk.

The formation energy comes out at 0.742 eV per atom. As for the excess energy over the best structure of this formula in the dataset: 269 meV/atom.

Cell lengths 5.801, 5.801, 2.729 Å; angles 100.27, 100.27, 124.07 degrees
Positions (direct):
Ca1 0.000 0.000 0.000
Cu1 0.500 0.500 0.000
W1 0.000 0.500 0.500
W2 0.500 0.000 0.500

---

Record 13
The following is a GGA-PBE calculation of a geometry-optimized CaCu3W structure, from Alexandria via LeMat-Bulk.

The formation energy comes out at 0.878 eV per atom. As for the excess energy over the best structure of this formula in the dataset: 0 meV/atom.

Cell lengths 4.765, 4.765, 4.765 Å; angles 90.00, 90.00, 90.00 degrees
Positions (direct):
Ca1 0.000 0.000 0.000
Cu1 0.000 0.500 0.500
Cu2 0.500 0.000 0.500
Cu3 0.500 0.500 0.000
W1 0.500 0.500 0.500

---

Record 14
The following is a GGA-PBE calculation of a geometry-optimized CaCuW2 structure, from Alexandria via LeMat-Bulk.

The formation energy comes out at 0.852 eV per atom. As for the excess energy over the best structure of this formula in the dataset: 379 meV/atom.

Cell lengths 5.589, 5.589, 2.664 Å; angles 90.00, 90.00, 122.14 degrees
Positions (direct):
Ca1 0.000 0.000 0.000
Cu1 0.500 0.500 0.000
W1 0.000 0.500 0.500
W2 0.500 0.000 0.500

---

Record 15
The following is a GGA-PBE calculation of a geometry-optimized CaCuW2 structure, from Alexandria via LeMat-Bulk.

The formation energy comes out at 0.600 eV per atom. As for the excess energy over the best structure of this formula in the dataset: 127 meV/atom.

Cell lengths 2.747, 2.747, 9.171 Å; angles 90.00, 90.00, 90.00 degrees
Positions (direct):
Ca1 0.000 0.000 0.000
Cu1 0.500 0.500 0.259
W1 0.000 0.000 0.463
W2 0.500 0.500 0.712

---

Record 16
The following is a GGA-PBE calculation of a geometry-optimized Ca2CuW2 structure, from Alexandria via LeMat-Bulk.

The formation energy comes out at 0.847 eV per atom. As for the excess energy over the best structure of this formula in the dataset: 0 meV/atom.

Cell lengths 6.627, 6.627, 5.061 Å; angles 90.00, 90.00, 90.00 degrees
Positions (direct):
Ca1 0.173 0.327 0.000
Ca2 0.327 0.827 0.000
Ca3 0.673 0.173 0.000
Ca4 0.827 0.673 0.000
Cu1 0.000 0.000 0.500
Cu2 0.500 0.500 0.500
W1 0.127 0.627 0.500
W2 0.373 0.127 0.500
W3 0.627 0.873 0.500
W4 0.873 0.373 0.500

---

Record 17
The following is a GGA-PBE calculation of a geometry-optimized Ca2CuW structure, from Alexandria via LeMat-Bulk.

The formation energy comes out at 0.960 eV per atom. As for the excess energy over the best structure of this formula in the dataset: 407 meV/atom.

Cell lengths 5.612, 5.612, 5.612 Å; angles 133.79, 133.79, 67.41 degrees
Positions (direct):
Ca1 0.000 0.000 0.000
Ca2 0.750 0.250 0.500
Cu1 0.250 0.750 0.500
W1 0.500 0.500 0.000

---

Record 18
The following is a GGA-PBE calculation of a geometry-optimized Ca2CuW structure, from Alexandria via LeMat-Bulk.

The formation energy comes out at 0.903 eV per atom. As for the excess energy over the best structure of this formula in the dataset: 351 meV/atom.

Cell lengths 5.869, 5.869, 5.123 Å; angles 115.62, 115.62, 31.90 degrees
Positions (direct):
Ca1 0.218 0.218 0.219
Ca2 0.782 0.782 0.781
Cu1 0.500 0.500 0.000
W1 0.000 0.000 0.500

---

Record 19
The following is a GGA-PBE calculation of a geometry-optimized CaCuW2 structure, from Alexandria via LeMat-Bulk.

The formation energy comes out at 0.719 eV per atom. As for the excess energy over the best structure of this formula in the dataset: 246 meV/atom.

Cell lengths 2.744, 2.744, 9.138 Å; angles 90.00, 90.00, 90.00 degrees
Positions (direct):
Ca1 0.000 0.000 0.000
Cu1 0.000 0.000 0.500
W1 0.500 0.500 0.290
W2 0.500 0.500 0.710

---

Record 20
The following is a GGA-PBE calculation of a geometry-optimized CaCuW2 structure, from Alexandria via LeMat-Bulk.

The formation energy comes out at 0.548 eV per atom. As for the excess energy over the best structure of this formula in the dataset: 75 meV/atom.

Cell lengths 5.916, 5.916, 5.916 Å; angles 151.14, 134.59, 54.70 degrees
Positions (direct):
Ca1 0.000 0.000 0.000
Cu1 0.500 0.500 0.000
W1 0.276 0.776 0.500
W2 0.724 0.224 0.500